Entry 1:
## Tm2SbO2 (GGA-PBE)

Data for a relaxed Tm2SbO2 crystal.

abc: 3.8024 3.8024 7.1121
angles: 105.48 105.48 90.00
Atoms (fractional coordinates):
Sb 0.0000 0.0000 0.0000
Tm 0.3328 0.3328 0.6660
Tm 0.6672 0.6672 0.3340
O 0.2500 0.7500 0.5000
O 0.7500 0.2500 0.5000

Output
* E_tot: -36.74 eV/cell
* magnetic moment: 0.000 μB per cell

Entry 2:
## YTmSb2O8 (GGA-PBE)

Data for a relaxed YTmSb2O8 crystal.

abc: 5.2347 5.2347 6.6904
angles: 113.03 113.03 90.00
Atoms (fractional coordinates):
O 0.1541 0.5916 0.8188
O 0.6647 0.2272 0.8188
O 0.7728 0.8459 0.1812
O 0.4084 0.3353 0.1812
O 0.3486 0.9158 0.3226
O 0.5933 0.6514 0.6774
O 0.0842 0.0260 0.6774
O 0.9740 0.4067 0.3226
Sb 0.2500 0.7500 0.5000
Sb 0.5000 0.5000 0.0000
Y 0.0000 0.0000 0.0000
Tm 0.7500 0.2500 0.5000

Output
* E_tot: -87.04 eV/cell
* magnetic moment: 0.000 μB per cell